! AsClF3 | Alexandria via LeMat-Bulk | PBE-GGA | optimized geometry; values from VASP
! ΔE to the lowest computed polymorph: 1.750 eV per atom
! SG: Pm-3m (221)
! Energy relative to the elements, uncorrected: 0.219 eV per atom
! E: -2.203 eV/atom
&SYSTEM
  ibrav = 0, nat = 5, ntyp = 3
/
ATOMIC_SPECIES
F 19.00 F.upf
Cl 35.45 Cl.upf
As 74.92 As.upf
CELL_PARAMETERS angstrom
-2.920 -0.235 -3.220
1.575 -3.894 -1.145
-2.818 -1.933 2.697
ATOMIC_POSITIONS angstrom
F 0.788 -1.947 -0.572
F -1.409 -0.967 1.348
F -1.460 -0.117 -1.610
Cl 0.000 0.000 0.000
As -2.082 -3.031 -0.834

! Mg4VN4 | Alexandria via LeMat-Bulk | PBE-GGA | optimized geometry; values from VASP
! ΔE to the lowest computed polymorph: 0.000 eV per atom
! SG: P-1 (2)
! Energy relative to the elements, uncorrected: -0.823 eV per atom
! E: -6.245 eV/atom
&SYSTEM
  ibrav = 0, nat = 18, ntyp = 3
/
ATOMIC_SPECIES
Mg 24.30 Mg.upf
N 14.01 N.upf
V 50.94 V.upf
CELL_PARAMETERS angstrom
5.400 0.001 -0.001
1.894 5.059 0.000
1.089 2.594 7.800
ATOMIC_POSITIONS angstrom
Mg 2.751 3.824 0.017
Mg 3.042 3.952 6.215
Mg 5.631 3.830 7.783
Mg 2.844 3.780 3.270
Mg 3.798 6.322 4.631
Mg 4.584 1.332 3.168
Mg 5.538 3.874 4.529
Mg 5.341 3.702 1.585
N 4.814 5.192 6.271
N 1.222 0.851 0.301
N 3.779 2.534 4.843
N 1.033 2.516 2.968
N 4.603 5.120 2.957
N 3.569 2.462 1.528
N 7.350 5.139 4.832
N 7.161 6.803 7.498
V 6.361 6.254 5.972
V 2.021 1.400 1.828

! CaTcP2 | Alexandria via LeMat-Bulk | PBE-GGA | optimized geometry; values from VASP
! ΔE to the lowest computed polymorph: 0.000 eV per atom
! SG: C2/m (12)
! E: -6.385 eV/atom
&SYSTEM
  ibrav = 0, nat = 4, ntyp = 3
/
ATOMIC_SPECIES
Ca 40.08 Ca.upf
P 30.97 P.upf
Tc 98.00 Tc.upf
CELL_PARAMETERS angstrom
4.050 0.004 -0.002
2.719 3.002 -0.002
1.313 0.583 5.834
ATOMIC_POSITIONS angstrom
Ca 2.021 0.897 1.457
P 1.320 0.586 5.413
P 4.034 1.791 3.336
Tc 6.062 2.692 4.372

! Ca5Pd2 | Alexandria via LeMat-Bulk | PBE-GGA | optimized geometry; values from VASP
! SG: C2/c (15)
! E: -3.415 eV/atom
&SYSTEM
  ibrav = 0, nat = 14, ntyp = 2
/
ATOMIC_SPECIES
Ca 40.08 Ca.upf
Pd 106.42 Pd.upf
CELL_PARAMETERS angstrom
-3.826 -4.307 -6.798
1.324 -7.702 -4.281
-4.870 -4.255 4.224
ATOMIC_POSITIONS angstrom
Ca -2.259 -9.658 -6.984
Ca -2.063 -7.336 -4.285
Ca -3.486 -10.147 0.331
Ca -1.848 -5.026 -1.578
Ca -5.073 -5.367 -3.747
Ca -3.886 -6.118 -7.187
Ca -5.309 -8.929 -2.570
Ca -2.299 -10.897 -3.109
Ca -5.113 -6.607 0.128
Ca -5.524 -11.238 -5.278
Pd -2.438 -4.320 -4.492
Pd -4.933 -11.945 -2.363
Pd -4.633 -8.410 -5.519
Pd -2.739 -7.855 -1.337

! LaGa2Pd5Au | Alexandria via LeMat-Bulk | PBE-GGA | optimized geometry; values from VASP
! SG: P4/mmm (123)
! E: -4.907 eV/atom
&SYSTEM
  ibrav = 0, nat = 9, ntyp = 4
/
ATOMIC_SPECIES
Pd 106.42 Pd.upf
Ga 69.72 Ga.upf
Au 196.97 Au.upf
La 138.91 La.upf
CELL_PARAMETERS angstrom
4.781 0.000 0.000
0.000 4.781 0.000
0.000 0.000 7.343
ATOMIC_POSITIONS angstrom
Pd 0.000 2.390 5.640
Pd 2.390 0.000 1.702
Pd 0.000 2.390 1.702
Pd 2.390 2.390 3.671
Pd 2.390 0.000 5.640
Ga 2.390 2.390 6.148
Ga 2.390 2.390 1.194
Au 0.000 0.000 0.000
La 0.000 0.000 3.671

! FeCoOs2 | Alexandria via LeMat-Bulk | PBE-GGA | optimized geometry; values from VASP
! ΔE to the lowest computed polymorph: 0.000 eV per atom
! SG: I-4m2 (119)
! E: -9.399 eV/atom
&SYSTEM
  ibrav = 0, nat = 4, ntyp = 3
/
ATOMIC_SPECIES
Fe 55.84 Fe.upf
Os 190.23 Os.upf
Co 58.93 Co.upf
CELL_PARAMETERS angstrom
4.552 0.032 0.000
1.531 4.287 0.000
-3.041 -2.159 2.610
ATOMIC_POSITIONS angstrom
Fe 2.276 0.016 1.305
Os 0.000 0.000 0.000
Os 0.765 2.144 1.305
Co 3.041 2.159 0.000

- Which formula does entry 1 have?
  AsClF3

- Which value of E does entry 2 give?
  -6.245 eV/atom